1.
An optimized crystal structure of YCd2Ni9, computed with PBE.

Cell: 8.230 8.230 4.851 Å, 90.00 90.00 90.00°
Space group P4/mbm (No. 127)
Inequivalent atoms, fractional coordinates:
Y (0.000, 0.000, 0.000) (multiplicity 2)
Cd (0.122, 0.378, 0.000) (multiplicity 4)
Ni (0.000, 0.500, 0.500) (multiplicity 2)
Ni (0.063, 0.207, 0.500) (multiplicity 8)
Ni (0.178, 0.678, 0.251) (multiplicity 8)

Computed properties:
D(E_F) (states/eV per cell): 35.82
Size of the total moment (μB per cell): 6.04
ΔE_f (kcal/mol of atoms): -3.47
Energy above the lowest structure with this stoichiometry (meV per atom): 10
VASP energy (eV/f.u.): -62.132

2.
An optimized crystal structure of MnZnCo3, computed with PBE.

Cell: 3.968 14.890 3.966 Å, 90.00 90.00 90.00°
Space group Cmcm (No. 63)
Inequivalent atoms, fractional coordinates:
Mn (0.000, 0.153, 0.250) (multiplicity 4)
Zn (0.000, 0.350, 0.250) (multiplicity 4)
Co (0.000, 0.045, 0.750) (multiplicity 4)
Co (0.000, 0.250, 0.750) (multiplicity 4)
Co (0.000, 0.455, 0.750) (multiplicity 4)

Computed properties:
D(E_F) (states/eV per cell): 19.78
Size of the total moment (μB per cell): 28.47
ΔE_f (kcal/mol of atoms): 0.19
Energy above the lowest structure with this stoichiometry (meV per atom): 0
VASP energy (eV/f.u.): -31.720

3.
An optimized crystal structure of HoCoSi2, computed with PBE.

Cell: 3.996 3.964 8.383 Å, 90.00 103.78 90.00°
Space group P2_1/m (No. 11)
Inequivalent atoms, fractional coordinates:
Ho (0.108, 0.250, 0.216) (multiplicity 2)
Co (0.320, 0.250, 0.644) (multiplicity 2)
Si (0.251, 0.750, 0.500) (multiplicity 2)
Si (0.458, 0.250, 0.916) (multiplicity 2)

Computed properties:
D(E_F) (states/eV per cell): 4.39
Size of the total moment (μB per cell): 0.00
VASP energy (eV/f.u.): -25.672

4.
An optimized crystal structure of Rb5Tl2O4, computed with PBE.

Cell: 5.197 7.452 25.926 Å, 90.00 90.00 90.00°
Space group Immm (No. 71)
Inequivalent atoms, fractional coordinates:
Rb (0.000, 0.000, 0.000) (multiplicity 2)
Rb (0.000, 0.229, 0.299) (multiplicity 8)
Tl (0.000, 0.500, 0.429) (multiplicity 4)
O (0.000, 0.322, 0.500) (multiplicity 4)
O (0.000, 0.500, 0.232) (multiplicity 4)

Computed properties:
D(E_F) (states/eV per cell): 22.81
Size of the total moment (μB per cell): 2.08
VASP energy (eV/f.u.): -35.890

5.
An optimized crystal structure of Pr5Dy3Tm, computed with PBE.

Cell: 20.263 6.347 11.824 Å, 90.00 123.30 90.00°
Space group C2/c (No. 15)
Inequivalent atoms, fractional coordinates:
Pr (0.000, 0.090, 0.250) (multiplicity 4)
Pr (0.138, 0.169, 0.661) (multiplicity 8)
Pr (0.180, 0.325, 0.330) (multiplicity 8)
Dy (0.000, 0.500, 0.000) (multiplicity 4)
Dy (0.175, 0.277, 0.024) (multiplicity 8)
Tm (0.000, 0.402, 0.750) (multiplicity 4)

Computed properties:
D(E_F) (states/eV per cell): 48.02
Size of the total moment (μB per cell): 0.00
ΔE_f (kcal/mol of atoms): 6.07
Energy above the lowest structure with this stoichiometry (meV per atom): 0
VASP energy (eV/f.u.): -39.807

6.
An optimized crystal structure of CsNp2Se6, computed with PBE.

Cell: 4.076 5.479 23.864 Å, 90.00 90.00 90.00°
Space group Immm (No. 71)
Inequivalent atoms, fractional coordinates:
Cs (0.000, 0.000, 0.000) (multiplicity 2)
Np (0.000, 0.000, 0.188) (multiplicity 4)
Se (0.000, 0.251, 0.381) (multiplicity 8)
Se (0.000, 0.500, 0.227) (multiplicity 4)

Computed properties:
D(E_F) (states/eV per cell): 36.69
Size of the total moment (μB per cell): 11.97
VASP energy (eV/f.u.): -56.752

7.
An optimized crystal structure of Cs2LiBi2Pb, computed with PBE.

Cell: 7.448 18.033 7.533 Å, 90.00 90.00 90.00°
Space group Ibam (No. 72)
Inequivalent atoms, fractional coordinates:
Cs (0.249, 0.170, 0.000) (multiplicity 8)
Li (0.000, 0.500, 0.250) (multiplicity 4)
Bi (0.238, 0.406, 0.000) (multiplicity 8)
Pb (0.000, 0.000, 0.250) (multiplicity 4)

Computed properties:
D(E_F) (states/eV per cell): 9.68
Size of the total moment (μB per cell): 0.00
ΔE_f (kcal/mol of atoms): -8.48
VASP energy (eV/f.u.): -17.296

8.
An optimized crystal structure of Li3PmAg2, computed with PBE.

Cell: 14.179 4.411 8.981 Å, 90.00 120.43 90.00°
Space group C2/m (No. 12)
Inequivalent atoms, fractional coordinates:
Li (0.058, 0.000, 0.396) (multiplicity 4)
Li (0.078, 0.500, 0.686) (multiplicity 4)
Li (0.221, 0.500, 0.552) (multiplicity 4)
Pm (0.134, 0.000, 0.015) (multiplicity 4)
Ag (0.069, 0.500, 0.200) (multiplicity 4)
Ag (0.203, 0.000, 0.732) (multiplicity 4)

Computed properties:
D(E_F) (states/eV per cell): 14.76
Size of the total moment (μB per cell): 0.00
ΔE_f (kcal/mol of atoms): -3.71
VASP energy (eV/f.u.): -17.159

9.
An optimized crystal structure of AcDyThAl, computed with PBE.

Cell: 7.851 7.851 7.851 Å, 90.00 90.00 90.00°
Space group F-43m (No. 216)
Inequivalent atoms, fractional coordinates:
Ac (0.000, 0.000, 0.000) (multiplicity 4)
Dy (0.250, 0.250, 0.750) (multiplicity 4)
Th (0.250, 0.250, 0.250) (multiplicity 4)
Al (0.000, 0.000, 0.500) (multiplicity 4)

Computed properties:
D(E_F) (states/eV per cell): 20.63
Size of the total moment (μB per cell): 0.00
ΔE_f (kcal/mol of atoms): 2.89
VASP energy (eV/f.u.): -19.372

10.
An optimized crystal structure of ReSOF2, computed with PBE.

Cell: 4.179 4.179 3.788 Å, 90.00 90.00 90.00°
Space group P4/mmm (No. 123)
Inequivalent atoms, fractional coordinates:
Re (0.000, 0.000, 0.000) (multiplicity 1)
S (0.500, 0.500, 0.500) (multiplicity 1)
O (0.000, 0.000, 0.500) (multiplicity 1)
F (0.000, 0.500, 0.000) (multiplicity 2)

Computed properties:
D(E_F) (states/eV per cell): 5.69
Size of the total moment (μB per cell): 0.29
Energy above the lowest structure with this stoichiometry (meV per atom): 0
VASP energy (eV/f.u.): -27.516

11.
An optimized crystal structure of Tb12Ho5Sc3, computed with PBE.

Cell: 18.539 18.539 18.539 Å, 90.00 90.00 90.00°
Space group Ia-3d (No. 230)
Inequivalent atoms, fractional coordinates:
Tb (0.007, 0.086, 0.646) (multiplicity 96)
Ho (0.000, 0.000, 0.000) (multiplicity 16)
Ho (0.000, 0.250, 0.375) (multiplicity 24)
Sc (0.000, 0.250, 0.125) (multiplicity 24)

Computed properties:
D(E_F) (states/eV per cell): 294.48
Size of the total moment (μB per cell): 0.37
ΔE_f (kcal/mol of atoms): 23.99
VASP energy (eV/f.u.): -76.642

12.
An optimized crystal structure of Ho8CoNi2, computed with PBE.

Cell: 16.879 4.971 6.545 Å, 90.00 105.62 90.00°
Space group C2/m (No. 12)
Inequivalent atoms, fractional coordinates:
Ho (0.036, 0.000, 0.293) (multiplicity 4)
Ho (0.090, 0.500, 0.942) (multiplicity 4)
Ho (0.168, 0.500, 0.477) (multiplicity 4)
Ho (0.202, 0.000, 0.826) (multiplicity 4)
Co (0.000, 0.500, 0.500) (multiplicity 2)
Ni (0.189, 0.000, 0.222) (multiplicity 4)

Computed properties:
D(E_F) (states/eV per cell): 23.71
Size of the total moment (μB per cell): 0.00
ΔE_f (kcal/mol of atoms): -4.23
Energy above the lowest structure with this stoichiometry (meV per atom): 0
VASP energy (eV/f.u.): -57.307

> size of the total moment of number 9 (AcDyThAl)?

0.00 μB per cell